[1]
Density functional theory data (PBE) for CePmPAu after structural relaxation.

CIF file:
```
data_CePmPAu
_space_group_name_H-M_alt 'P 1'
_space_group_IT_number 1
_space_group_name_Hall 'P 1'
_cell_length_a 5.127
_cell_length_b 5.127
_cell_length_c 5.127
_cell_angle_alpha 60.00
_cell_angle_beta 60.00
_cell_angle_gamma 60.00
loop_
_atom_site_label
_atom_site_fract_x
_atom_site_fract_y
_atom_site_fract_z
P1 0.500 0.500 0.500
Au1 0.000 0.000 0.000
Ce1 0.250 0.250 0.250
Pm1 0.750 0.750 0.750
```

Calculated values
SG: No. 216
DFT total energy, eV per cell: -22.58
Energy of formation from the pure elements, eV per atom: -0.803

[2]
Density functional theory data (PBE) for CePu2P4Au after structural relaxation.

CIF file:
```
data_CePu2P4Au
_space_group_name_H-M_alt 'P 1'
_space_group_IT_number 1
_space_group_name_Hall 'P 1'
_cell_length_a 3.997
_cell_length_b 6.826
_cell_length_c 13.517
_cell_angle_alpha 90.00
_cell_angle_beta 90.00
_cell_angle_gamma 107.02
loop_
_atom_site_label
_atom_site_fract_x
_atom_site_fract_y
_atom_site_fract_z
Ce1 0.119 0.239 0.750
Ce2 0.881 0.761 0.250
Pu1 0.369 0.738 0.561
Pu2 0.631 0.262 0.061
Pu3 0.631 0.262 0.439
Pu4 0.369 0.738 0.939
P1 0.275 0.550 0.118
P2 0.725 0.450 0.618
P3 0.725 0.450 0.882
P4 0.275 0.550 0.382
P5 0.000 0.000 0.500
P6 0.000 0.000 0.000
P7 0.465 0.930 0.750
P8 0.535 0.070 0.250
Au1 0.855 0.710 0.750
Au2 0.145 0.290 0.250
```

Calculated values
SG: No. 63
DFT total energy, eV per cell: -133.39
Energy of formation from the pure elements, eV per atom: -0.898

[3]
Density functional theory data (PBE) for Ce3P2Rh9Au after structural relaxation.

CIF file:
```
data_Ce3P2Rh9Au
_space_group_name_H-M_alt 'P 1'
_space_group_IT_number 1
_space_group_name_Hall 'P 1'
_cell_length_a 5.654
_cell_length_b 5.654
_cell_length_c 10.446
_cell_angle_alpha 90.00
_cell_angle_beta 90.00
_cell_angle_gamma 120.00
loop_
_atom_site_label
_atom_site_fract_x
_atom_site_fract_y
_atom_site_fract_z
Ce1 0.333 0.667 0.650
Ce2 0.000 0.000 0.000
Ce3 0.667 0.333 0.350
P1 0.333 0.667 0.154
P2 0.667 0.333 0.846
Rh1 0.840 0.160 0.709
Rh2 0.840 0.680 0.709
Rh3 0.320 0.160 0.709
Rh4 0.680 0.840 0.291
Rh5 0.160 0.320 0.291
Rh6 0.160 0.840 0.291
Rh7 0.500 0.000 0.000
Rh8 0.000 0.500 0.000
Rh9 0.500 0.500 0.000
Au1 0.000 0.000 0.500
```

Calculated values
SG: No. 164
DFT total energy, eV per cell: -106.53
Energy of formation from the pure elements, eV per atom: -0.564